(1)
# Dy2ErIn3Ni2Au PBE optimized geometry
# Magnetic moment (μB per atom): 0.000
# Crystal system: orthorhombic
# Total DFT energy (no corrections) (eV/cell): -82.732
data_Dy2ErIn3Ni2Au
_chemical_formula_sum 'Dy4 Er2 In6 Ni4 Au2'
_space_group_name_H-M_alt 'A m m 2'
_space_group_IT_number 38
_cell_length_a 3.913
_cell_length_b 13.021
_cell_length_c 7.522
_cell_angle_alpha 90.00
_cell_angle_beta 90.00
_cell_angle_gamma 90.00
loop_
_space_group_symop_operation_xyz
'x,y,z'
'-x,-y,z'
'-x,y,z'
'x,-y,z'
'x,y+1/2,z+1/2'
'-x,-y+1/2,z+1/2'
'-x,y+1/2,z+1/2'
'x,-y+1/2,z+1/2'
loop_
_atom_site_label
_atom_site_type_symbol
_atom_site_fract_x
_atom_site_fract_y
_atom_site_fract_z
Dy1 Dy 0.000 0.204 0.000
Er1 Er 0.000 0.000 0.388
In1 In 0.500 0.000 0.070
In2 In 0.500 0.137 0.658
Ni1 Ni 0.500 0.166 0.296
Au1 Au 0.000 0.000 0.795

---

(2)
# NaLa3Ir PBE optimized geometry
# Magnetic moment (μB per atom): 0.000
# Crystal system: monoclinic
# Total DFT energy (no corrections) (eV/cell): -53.171
data_NaLa3Ir
_chemical_formula_sum 'Na2 La6 Ir2'
_space_group_name_H-M_alt 'P 1 21/m 1'
_space_group_IT_number 11
_cell_length_a 9.742
_cell_length_b 4.197
_cell_length_c 9.763
_cell_angle_alpha 90.00
_cell_angle_beta 118.25
_cell_angle_gamma 90.00
loop_
_space_group_symop_operation_xyz
'x,y,z'
'-x,-y,-z'
'-x,y+1/2,-z'
'x,-y+1/2,z'
loop_
_atom_site_label
_atom_site_type_symbol
_atom_site_fract_x
_atom_site_fract_y
_atom_site_fract_z
Na1 Na 0.097 0.250 0.150
La1 La 0.127 0.250 0.692
La2 La 0.340 0.750 0.498
La3 La 0.419 0.750 0.115
Ir1 Ir 0.346 0.750 0.787

---

(3)
# La5GdMg6Ag6 PBE optimized geometry
# Magnetic moment (μB per atom): 0.000
# Crystal system: monoclinic
# Total DFT energy (no corrections) (eV/cell): -60.531
data_La5GdMg6Ag6
_chemical_formula_sum 'La5 Gd1 Mg6 Ag6'
_space_group_name_H-M_alt 'P 1 m 1'
_space_group_IT_number 6
_cell_length_a 7.849
_cell_length_b 4.347
_cell_length_c 13.573
_cell_angle_alpha 90.00
_cell_angle_beta 90.12
_cell_angle_gamma 90.00
loop_
_space_group_symop_operation_xyz
'x,y,z'
'x,-y,z'
loop_
_atom_site_label
_atom_site_type_symbol
_atom_site_fract_x
_atom_site_fract_y
_atom_site_fract_z
La1 La 0.000 0.000 0.000
La2 La 0.001 0.000 0.418
La3 La 0.124 0.000 0.707
La4 La 0.501 0.000 0.915
La5 La 0.625 0.000 0.211
Gd1 Gd 0.501 0.000 0.502
Mg1 Mg 0.328 0.500 0.091
Mg2 Mg 0.330 0.500 0.331
Mg3 Mg 0.471 0.500 0.705
Mg4 Mg 0.823 0.500 0.588
Mg5 Mg 0.827 0.500 0.826
Mg6 Mg 0.971 0.500 0.210
Ag1 Ag 0.209 0.000 0.210
Ag2 Ag 0.209 0.500 0.874
Ag3 Ag 0.218 0.500 0.541
Ag4 Ag 0.702 0.500 0.381
Ag5 Ag 0.706 0.000 0.705
Ag6 Ag 0.709 0.500 0.043

---

(4)
# Zr4N3 PBE optimized geometry
# Magnetic moment (μB per atom): 0.000
# Crystal system: monoclinic
# Total DFT energy (no corrections) (eV/cell): -139.373
data_Zr4N3
_chemical_formula_sum 'Zr8 N6'
_space_group_name_H-M_alt 'C 1 2/m 1'
_space_group_IT_number 12
_cell_length_a 10.801
_cell_length_b 3.266
_cell_length_c 5.633
_cell_angle_alpha 90.00
_cell_angle_beta 100.69
_cell_angle_gamma 90.00
loop_
_space_group_symop_operation_xyz
'x,y,z'
'-x,-y,-z'
'-x,y,-z'
'x,-y,z'
'x+1/2,y+1/2,z'
'-x+1/2,-y+1/2,-z'
'-x+1/2,y+1/2,-z'
'x+1/2,-y+1/2,z'
loop_
_atom_site_label
_atom_site_type_symbol
_atom_site_fract_x
_atom_site_fract_y
_atom_site_fract_z
Zr1 Zr 0.127 0.000 0.383
Zr2 Zr 0.132 0.500 0.868
N1 N 0.000 0.500 0.500
N2 N 0.249 0.500 0.251

---

(5)
# ThFe PBE optimized geometry
# Magnetic moment (μB per atom): 0.000
# Crystal system: hexagonal
# Total DFT energy (no corrections) (eV/cell): -29.514
data_ThFe
_chemical_formula_sum 'Th2 Fe2'
_space_group_name_H-M_alt 'P 63 m c'
_space_group_IT_number 186
_space_group_name_Hall 'P 6c -2c'
_cell_length_a 4.3948
_cell_length_b 4.3948
_cell_length_c 5.5308
_cell_angle_alpha 90.00
_cell_angle_beta 90.00
_cell_angle_gamma 120.00
loop_
_atom_site_label
_atom_site_type_symbol
_atom_site_fract_x
_atom_site_fract_y
_atom_site_fract_z
Th1 Th 0.3333 0.6667 0.0000
Fe1 Fe 0.3333 0.6667 0.4990

---

(6)
# LiReNiB PBE optimized geometry
# Magnetic moment (μB per atom): 0.015
# Crystal system: cubic
# Energy above the most stable polymorph in this dataset (meV/atom): 0.0
data_LiReNiB
_chemical_formula_sum 'Li4 Re4 Ni4 B4'
_space_group_name_H-M_alt 'F -4 3 m'
_space_group_IT_number 216
_space_group_name_Hall 'F -4 2 3'
_cell_length_a 5.546
_cell_length_b 5.546
_cell_length_c 5.546
_cell_angle_alpha 90.00
_cell_angle_beta 90.00
_cell_angle_gamma 90.00
loop_
_atom_site_label
_atom_site_type_symbol
_atom_site_fract_x
_atom_site_fract_y
_atom_site_fract_z
Li1 Li 0.000 0.000 0.000
Re1 Re 0.000 0.000 0.500
Ni1 Ni 0.250 0.250 0.750
B1 B 0.250 0.250 0.250